DFT (GGA-PBE) results for a geometry-optimized Sb2TeMoOs structure.

POSCAR file:
```
Sb2TeMoOs
1.0
-1.387 4.789 -1.431
-2.567 0.592 4.468
4.225 1.875 2.179
Sb Mo Te Os
2 1 1 1
direct
0.000 0.500 0.000
0.500 0.000 0.000
0.000 0.000 0.000
0.000 0.000 0.500
0.500 0.500 0.500
```

Calculated values
**SG**: No. 123
**Energy**: -25.81 eV/cell
**Polymorph energy (0 for the lowest one)**: 0.281 eV/atom

DFT (GGA-PBE) results for a geometry-optimized ScMoOs structure.

POSCAR file:
```
ScMoOs
1.0
4.499 0.000 0.000
0.000 4.481 0.000
-2.250 0.000 4.869
Mo Sc Os
2 2 2
direct
0.586 0.250 0.173
0.414 0.750 0.827
0.909 0.250 0.818
0.091 0.750 0.182
0.247 0.250 0.494
0.753 0.750 0.506
```

Calculated values
**Formation enthalpy at 0 K**: -0.124 eV per atom
**SG**: No. 63
**Energy**: -57.53 eV/cell
**Polymorph energy (0 for the lowest one)**: 0.141 eV/atom

DFT (GGA-PBE) results for a geometry-optimized ScMo2Os2 structure.

POSCAR file:
```
ScMo2Os2
1.0
-3.230 -5.357 4.429
1.273 -5.258 -5.430
2.544 -0.578 1.156
Sc Mo Os
2 4 4
direct
0.000 0.000 0.000
0.500 0.500 0.000
0.350 0.850 0.000
0.850 0.650 0.000
0.650 0.150 0.000
0.150 0.350 0.000
0.144 0.644 0.500
0.644 0.856 0.500
0.856 0.356 0.500
0.356 0.144 0.500
```

Calculated values
**Formation enthalpy at 0 K**: 0.084 eV per atom
**SG**: No. 127
**Energy**: -100.07 eV/cell
**Polymorph energy (0 for the lowest one)**: 0.048 eV/atom

DFT (GGA-PBE) results for a geometry-optimized Sc3MoOs structure.

POSCAR file:
```
Sc3MoOs
1.0
-2.355 -3.988 -1.826
3.628 -0.606 -3.355
2.465 -2.917 3.193
Sc Mo Os
3 1 1
direct
0.000 0.500 0.000
0.000 0.000 0.500
0.500 0.000 0.000
0.500 0.500 0.500
0.000 0.000 0.000
```

Calculated values
**Formation enthalpy at 0 K**: 0.583 eV per atom
**SG**: No. 221
**Energy**: -38.14 eV/cell
**Polymorph energy (0 for the lowest one)**: 0.000 eV/atom

DFT (GGA-PBE) results for a geometry-optimized Sc3MoOs structure.

POSCAR file:
```
Sc3MoOs
1.0
-0.347 1.924 4.363
-4.546 1.188 -0.886
-1.441 -4.212 1.743
Sc Mo Os
3 1 1
direct
0.000 0.500 0.000
0.000 0.000 0.500
0.500 0.000 0.000
0.000 0.000 0.000
0.500 0.500 0.500
```

Calculated values
**Formation enthalpy at 0 K**: 1.028 eV per atom
**SG**: No. 221
**Energy**: -35.92 eV/cell
**Polymorph energy (0 for the lowest one)**: 0.444 eV/atom

DFT (GGA-PBE) results for a geometry-optimized ScMoOs structure.

POSCAR file:
```
ScMoOs
1.0
-2.189 -3.709 1.015
2.444 0.189 -3.683
4.625 -1.917 2.970
Sc Mo Os
2 2 2
direct
0.333 0.667 0.909
0.667 0.333 0.091
0.333 0.667 0.420
0.667 0.333 0.580
0.000 0.000 0.266
0.000 0.000 0.734
```

Calculated values
**Formation enthalpy at 0 K**: -0.044 eV per atom
**SG**: No. 164
**Energy**: -57.05 eV/cell
**Polymorph energy (0 for the lowest one)**: 0.221 eV/atom